Record 1
# NaAuCl2 | Alexandria via LeMat-Bulk | GGA-PBEsol | relaxed
data_NaAuCl2
_cell_length_a 5.517
_cell_length_b 5.517
_cell_length_c 13.763
_cell_angle_alpha 90.00
_cell_angle_beta 90.00
_cell_angle_gamma 90.00
_space_group_name_H-M_alt 'I -4 2 d'
_space_group_IT_number 122
_space_group_name_Hall 'I -4 2bw'
loop_
_atom_site_label
_atom_site_fract_x
_atom_site_fract_y
_atom_site_fract_z
Na1 0.000 0.000 0.000
Au1 0.000 0.000 0.500
Cl1 0.225 0.250 0.625
# Energy relative to the lowest polymorph listed for this composition ... 0.181 eV per atom



Record 2
The following is a GGA-PBEsol calculation of an optimized crystal structure of Na2AuCl, from Alexandria via LeMat-Bulk.

CIF file:
```
data_Na2AuCl
_cell_length_a 7.062
_cell_length_b 7.062
_cell_length_c 7.062
_cell_angle_alpha 90.00
_cell_angle_beta 90.00
_cell_angle_gamma 90.00
_space_group_name_H-M_alt 'F m -3 m'
_space_group_IT_number 225
_space_group_name_Hall '-F 4 2 3'
loop_
_atom_site_label
_atom_site_fract_x
_atom_site_fract_y
_atom_site_fract_z
Na1 0.250 0.250 0.250
Au1 0.000 0.000 0.000
Cl1 0.000 0.000 0.500
```



Record 3
# NaAuCl2 | Alexandria via LeMat-Bulk | GGA-PBEsol | relaxed
data_NaAuCl2
_cell_length_a 4.1564
_cell_length_b 4.1564
_cell_length_c 21.8051
_cell_angle_alpha 90.00
_cell_angle_beta 90.00
_cell_angle_gamma 120.00
_space_group_name_H-M_alt 'R -3 m'
_space_group_IT_number 166
_space_group_name_Hall '-R 3 2"'
loop_
_atom_site_label
_atom_site_fract_x
_atom_site_fract_y
_atom_site_fract_z
Na1 0.0000 0.0000 0.0000
Au1 0.0000 0.0000 0.5000
Cl1 0.0000 0.0000 0.3966
# Energy relative to the lowest polymorph listed for this composition ... 0.000 eV per atom



E_tot? In order: -3.077, -2.934, -3.258 eV per atom.
Uncorrected formation energy? In order: -742, -752, -923 meV per atom.